# TaOs3Pt PBE-GGA relaxed
# Energy relative to the lowest polymorph listed for this composition = 114.3 meV/atom
# V = 20.45 A^3/atom
# DFT formation energy = 2.48 eV per atom
data_TaOs3Pt
_symmetry_space_group_name_H-M 'P m -3 m'
_symmetry_Int_Tables_number 221
_symmetry_space_group_name_Hall '-P 4 2 3'
_cell_length_a 4.676
_cell_length_b 4.676
_cell_length_c 4.676
_cell_angle_alpha 90.00
_cell_angle_beta 90.00
_cell_angle_gamma 90.00
loop_
_atom_site_label
_atom_site_type_symbol
_atom_site_fract_x
_atom_site_fract_y
_atom_site_fract_z
Ta1 Ta 0.000 0.000 0.000
Os1 Os 0.000 0.500 0.500
Pt1 Pt 0.500 0.500 0.500